This record from Alexandria describes crystalline LiNb2V at its relaxed geometry. The functional is PBE.

Properties
For the energy of formation, the calculation gives 0.76 eV per atom. The value obtained for the density of states at the Fermi level is 0.916 states/eV/atom.

Cell: 3.8235 3.8235 18.9669 Å, 90.00 90.00 90.00°
With the nearest neighbours (Å) after each atom.
Space group I-42d (No. 122)
Inequivalent atoms, fractional coordinates:
Li (0.0000, 0.0000, 0.0000) [4 per cell]  4 V 2.70, 4 Nb 2.74
Nb (0.2388, 0.2500, 0.6250) [8 per cell]  4 Nb 2.64-2.76, 2 V 2.71, 2 Li 2.74
V (0.0000, 0.0000, 0.5000) [4 per cell]  4 Li 2.70, 4 Nb 2.71